VASP calculation (PBE) on a geometry-optimized Ac2PuNi structure.

a = 3.718 Å, b = 3.718 Å, c = 8.977 Å
α = 90.00°, β = 90.00°, γ = 90.00°
Positions (direct):
Ac 0.000 0.000 0.199
Ac 0.000 0.000 0.801
Pu 0.500 0.500 0.500
Ni 0.500 0.500 0.000

Properties
Energy above the lowest structure with this stoichiometry ... 0.00 kJ/mol of atoms
Magnetic moment ... 7.14 Bohr magnetons per cell
ΔE_f ... 0.36 eV per formula unit
Crystal system ... tetragonal

VASP calculation (PBE) on a geometry-optimized AcPuNi2 structure.

a = 4.985 Å, b = 4.985 Å, c = 4.985 Å
α = 60.00°, β = 60.00°, γ = 60.00°
Positions (direct):
Ac 0.000 0.000 0.000
Pu 0.500 0.500 0.500
Ni 0.250 0.250 0.250
Ni 0.750 0.750 0.750

Properties
Energy above the lowest structure with this stoichiometry ... 4.19 kJ/mol of atoms
Magnetic moment ... 5.73 Bohr magnetons per cell
ΔE_f ... -0.01 eV per formula unit
Crystal system ... cubic

VASP calculation (PBE) on a geometry-optimized AcPuNiRu structure.

a = 6.231 Å, b = 6.231 Å, c = 6.231 Å
α = 41.03°, β = 41.03°, γ = 41.03°
Positions (direct):
Ac 0.000 0.000 0.000
Pu 0.500 0.500 0.500
Ni 0.209 0.209 0.209
Ru 0.790 0.790 0.790

Properties
Energy above the lowest structure with this stoichiometry ... 0.00 kJ/mol of atoms
Magnetic moment ... 4.30 Bohr magnetons per cell
ΔE_f ... -0.68 eV per formula unit
Crystal system ... trigonal

VASP calculation (PBE) on a geometry-optimized AcPuNiRu structure.

a = 4.993 Å, b = 4.993 Å, c = 4.993 Å
α = 60.00°, β = 60.00°, γ = 60.00°
Positions (direct):
Ac 0.000 0.000 0.000
Pu 0.500 0.500 0.500
Ni 0.750 0.750 0.750
Ru 0.250 0.250 0.250

Properties
Energy above the lowest structure with this stoichiometry ... 20.24 kJ/mol of atoms
Magnetic moment ... 4.52 Bohr magnetons per cell
ΔE_f ... 0.16 eV per formula unit
Crystal system ... cubic

VASP calculation (PBE) on a geometry-optimized Ac2PuNi3Sb4 structure.

a = 4.650 Å, b = 4.650 Å, c = 11.321 Å
α = 90.00°, β = 90.00°, γ = 90.00°
Positions (direct):
Ac 0.000 0.500 0.228
Ac 0.500 0.000 0.772
Pu 0.000 0.000 0.500
Ni 0.000 0.500 0.897
Ni 0.500 0.000 0.103
Ni 0.500 0.500 0.500
Sb 0.000 0.000 0.000
Sb 0.000 0.500 0.667
Sb 0.500 0.000 0.333
Sb 0.500 0.500 0.000

Properties
ΔE_f (raw) ... -5.55 eV/f.u.
Magnetic moment ... 5.64 Bohr magnetons per cell
Crystal system ... tetragonal

VASP calculation (PBE) on a geometry-optimized Ac2PuNi4Sb3 structure.

a = 4.552 Å, b = 4.552 Å, c = 10.589 Å
α = 90.00°, β = 90.00°, γ = 90.00°
Positions (direct):
Ac 0.000 0.500 0.227
Ac 0.500 0.000 0.773
Pu 0.000 0.000 0.500
Ni 0.000 0.000 0.000
Ni 0.000 0.500 0.639
Ni 0.500 0.000 0.361
Ni 0.500 0.500 0.000
Sb 0.000 0.500 0.880
Sb 0.500 0.000 0.120
Sb 0.500 0.500 0.500

Properties
ΔE_f (raw) ... -5.79 eV/f.u.
Magnetic moment ... 5.30 Bohr magnetons per cell
Crystal system ... tetragonal

VASP calculation (PBE) on a geometry-optimized AcPuNiSe4 structure.

a = 7.029 Å, b = 5.989 Å, c = 8.535 Å
α = 90.00°, β = 107.33°, γ = 90.00°
Positions (direct):
Ac 0.237 0.250 0.430
Ac 0.763 0.750 0.570
Pu 0.238 0.250 0.942
Pu 0.762 0.750 0.058
Ni 0.255 0.750 0.185
Ni 0.745 0.250 0.815
Se 0.071 0.750 0.377
Se 0.083 0.750 0.907
Se 0.485 0.507 0.762
Se 0.485 0.993 0.762
Se 0.515 0.007 0.238
Se 0.515 0.493 0.238
Se 0.917 0.250 0.093
Se 0.929 0.250 0.623

Properties
ΔE_f (raw) ... -9.03 eV/f.u.
Magnetic moment ... 8.38 Bohr magnetons per cell
Crystal system ... monoclinic

VASP calculation (PBE) on a geometry-optimized AcPuZnNi structure.

a = 5.161 Å, b = 5.161 Å, c = 5.161 Å
α = 60.00°, β = 60.00°, γ = 60.00°
Positions (direct):
Ac 0.000 0.000 0.000
Pu 0.500 0.500 0.500
Zn 0.750 0.750 0.750
Ni 0.250 0.250 0.250

Properties
Magnetic moment ... 5.60 Bohr magnetons per cell
ΔE_f ... -0.01 eV per formula unit
Crystal system ... cubic

VASP calculation (PBE) on a geometry-optimized RbAc3Ni structure.

a = 6.005 Å, b = 6.005 Å, c = 6.005 Å
α = 90.00°, β = 90.00°, γ = 90.00°
Positions (direct):
Rb 0.000 0.000 0.000
Ac 0.000 0.500 0.500
Ac 0.500 0.000 0.500
Ac 0.500 0.500 0.000
Ni 0.500 0.500 0.500

Properties
Magnetic moment ... 0.00 Bohr magnetons per cell
ΔE_f ... 0.64 eV per formula unit
Crystal system ... cubic

VASP calculation (PBE) on a geometry-optimized RbAc2Ni structure.

a = 12.294 Å, b = 12.294 Å, c = 12.294 Å
α = 20.37°, β = 20.37°, γ = 20.37°
Positions (direct):
Rb 0.000 0.000 0.000
Ac 0.124 0.124 0.124
Ac 0.876 0.876 0.876
Ni 0.500 0.500 0.500

Properties
Magnetic moment ... 0.00 Bohr magnetons per cell
ΔE_f ... -0.07 eV per formula unit
Crystal system ... trigonal

VASP calculation (PBE) on a geometry-optimized AcNi2Rh3 structure.

a = 5.358 Å, b = 5.358 Å, c = 4.097 Å
α = 90.00°, β = 90.00°, γ = 120.00°
Positions (direct):
Ac 0.000 0.000 0.000
Ni 0.333 0.667 0.000
Ni 0.667 0.333 0.000
Rh 0.000 0.500 0.500
Rh 0.500 0.000 0.500
Rh 0.500 0.500 0.500

Properties
Magnetic moment ... 0.00 Bohr magnetons per cell
ΔE_f ... -1.96 eV per formula unit
Crystal system ... hexagonal

VASP calculation (PBE) on a geometry-optimized Ac12Ni3Rh5 structure.

a = 15.340 Å, b = 15.340 Å, c = 15.340 Å
α = 109.47°, β = 109.47°, γ = 109.47°
Positions (direct):
Ac 0.041 0.217 0.128
Ac 0.041 0.324 0.913
Ac 0.087 0.628 0.411
Ac 0.087 0.959 0.676
Ac 0.089 0.717 0.676
Ac 0.089 0.872 0.413
Ac 0.128 0.041 0.217
Ac 0.128 0.587 0.911
Ac 0.176 0.217 0.589
Ac 0.176 0.459 0.587
Ac 0.217 0.128 0.041
Ac 0.217 0.589 0.176
Ac 0.283 0.324 0.911
Ac 0.283 0.459 0.372
Ac 0.324 0.911 0.283
Ac 0.324 0.913 0.041
Ac 0.372 0.283 0.459
Ac 0.372 0.589 0.913
Ac 0.411 0.087 0.628
Ac 0.411 0.824 0.783
Ac 0.413 0.089 0.872
Ac 0.413 0.824 0.541
Ac 0.459 0.372 0.283
Ac 0.459 0.587 0.176
Ac 0.541 0.413 0.824
Ac 0.541 0.628 0.717
Ac 0.587 0.176 0.459
Ac 0.587 0.911 0.128
Ac 0.589 0.176 0.217
Ac 0.589 0.913 0.372
Ac 0.628 0.411 0.087
Ac 0.628 0.717 0.541
Ac 0.676 0.087 0.959
Ac 0.676 0.089 0.717
Ac 0.717 0.541 0.628
Ac 0.717 0.676 0.089
Ac 0.783 0.411 0.824
Ac 0.783 0.872 0.959
Ac 0.824 0.541 0.413
Ac 0.824 0.783 0.411
Ac 0.872 0.413 0.089
Ac 0.872 0.959 0.783
Ac 0.911 0.128 0.587
Ac 0.911 0.283 0.324
Ac 0.913 0.041 0.324
Ac 0.913 0.372 0.589
Ac 0.959 0.676 0.087
Ac 0.959 0.783 0.872
Ni 0.125 0.250 0.375
Ni 0.125 0.375 0.750
Ni 0.250 0.375 0.125
Ni 0.250 0.875 0.625
Ni 0.375 0.125 0.250
Ni 0.375 0.750 0.125
Ni 0.625 0.250 0.875
Ni 0.625 0.875 0.750
Ni 0.750 0.125 0.375
Ni 0.750 0.625 0.875
Ni 0.875 0.625 0.250
Ni 0.875 0.750 0.625
Rh 0.000 0.000 0.000
Rh 0.000 0.000 0.500
Rh 0.000 0.500 0.000
Rh 0.000 0.500 0.500
Rh 0.125 0.750 0.875
Rh 0.125 0.875 0.250
Rh 0.250 0.125 0.875
Rh 0.250 0.625 0.375
Rh 0.375 0.250 0.625
Rh 0.375 0.625 0.750
Rh 0.500 0.000 0.000
Rh 0.500 0.000 0.500
Rh 0.500 0.500 0.000
Rh 0.500 0.500 0.500
Rh 0.625 0.375 0.250
Rh 0.625 0.750 0.375
Rh 0.750 0.375 0.625
Rh 0.750 0.875 0.125
Rh 0.875 0.125 0.750
Rh 0.875 0.250 0.125

Properties
Magnetic moment ... 0.00 Bohr magnetons per cell
ΔE_f ... -3.67 eV per formula unit
Crystal system ... cubic

Number 1: raw total energy -6.992 eV/atom. Number 2: raw total energy -7.502 eV/atom. Number 3: raw total energy -8.544 eV/atom. Number 4: raw total energy -8.335 eV/atom. Number 5: raw total energy -6.193 eV/atom. Number 6: raw total energy -6.383 eV/atom. Number 7: raw total energy -6.741 eV/atom. Number 8: raw total energy -6.377 eV/atom. Number 9: raw total energy -3.688 eV/atom. Number 10: raw total energy -3.759 eV/atom. Number 11: raw total energy -6.614 eV/atom. Number 12: raw total energy -5.354 eV/atom.